Compound: Li4MnF8
Source: Alexandria
Functional: GGA+U
Structure: optimized geometry

Output
Space group   P2 (3)
Total DFT energy (no corrections)   -4.96 eV/atom
ΔE to the lowest computed polymorph   0.0 meV/atom

Cell: 5.121 6.069 5.200 Å, 90.00 111.03 90.00°
Atoms (fractional coordinates):
Li 0.000 0.000 0.000
Li 0.000 0.199 0.500
Li 0.000 0.752 0.500
Li 0.500 0.807 0.000
Mn 0.000 0.487 0.000
F 0.203 0.498 0.769
F 0.203 0.971 0.756
F 0.211 0.268 0.223
F 0.231 0.708 0.213
F 0.769 0.708 0.787
F 0.789 0.268 0.777
F 0.797 0.498 0.231
F 0.797 0.971 0.244